Entry 1:
Here is a relaxed structure of Rb2UF6 from the Alexandria database. Energies are from PBE-GGA.

POSCAR file:
```
Rb2UF6
1.0
6.761 -3.262 0.000
6.761 3.262 0.000
-1.299 0.000 3.999
Rb U F
2 1 6
Direct
0.166 0.166 0.164
0.834 0.834 0.836
0.500 0.500 0.500
0.152 0.580 0.367
0.312 0.688 0.000
0.420 0.848 0.633
0.580 0.152 0.367
0.688 0.312 0.000
0.848 0.420 0.633
```

Values from the calculation:
The uncorrected formation energy is -3.33 eV/atom. For the total magnetization, the calculation gives 2.000 μB/f.u. The calculation puts the calculated volume at 19.60 Å³/atom. The calculation puts the total energy at -6.046 eV/atom. The symmetry is C2/m (12).



Entry 2:
Here is a relaxed structure of Rb2GaAs from the Alexandria database. Energies are from PBE-GGA.

POSCAR file:
```
Rb2GaAs
1.0
0.000 4.126 4.126
4.126 0.000 4.126
4.126 4.126 0.000
Rb Ga As
2 1 1
Direct
0.250 0.250 0.250
0.750 0.750 0.750
0.000 0.000 0.000
0.500 0.500 0.500
```

Values from the calculation:
For the total magnetization, the calculation gives 0.000 μB/f.u. The calculation puts the calculated volume at 35.11 Å³/atom. For the energy above the most stable polymorph in this dataset, the calculation gives 0.339 eV/atom. For the formation energy, the calculation gives 0.07 eV per atom. The calculation puts the total energy at -2.333 eV/atom. The symmetry is Fm-3m (225).



Entry 3:
Here is a relaxed structure of NiBiAs2Se from the Alexandria database. Energies are from PBE-GGA.

POSCAR file:
```
NiBiAs2Se
1.0
4.635 0.000 0.000
0.000 4.635 0.000
0.000 0.000 5.002
Ni Bi As Se
1 1 2 1
Direct
0.000 0.000 0.000
0.500 0.500 0.500
0.000 0.500 0.000
0.500 0.000 0.000
0.000 0.000 0.500
```

Values from the calculation:
The uncorrected formation energy is 0.26 eV/atom. For the total magnetization, the calculation gives 0.000 μB/f.u. The calculation puts the calculated volume at 21.50 Å³/atom. For the energy above the most stable polymorph in this dataset, the calculation gives 0.000 eV/atom. The calculation puts the total energy at -4.231 eV/atom. The symmetry is P4/mmm (123).



Entry 4:
Here is a relaxed structure of PuCuIr from the Alexandria database. Energies are from PBE-GGA.

POSCAR file:
```
PuCuIr
1.0
-2.467 2.766 3.795
2.467 -2.766 3.795
2.467 2.766 -3.795
Pu Cu Ir
2 2 2
Direct
0.381 0.131 0.250
0.619 0.869 0.750
0.000 0.000 0.500
0.000 0.500 0.000
0.000 0.500 0.500
0.500 0.500 0.000
```

Values from the calculation:
For the total magnetization, the calculation gives 5.093 μB/f.u. The calculation puts the calculated volume at 17.26 Å³/atom. For the energy above the most stable polymorph in this dataset, the calculation gives 0.000 eV/atom. For the formation energy, the calculation gives -0.38 eV per atom. The calculation puts the total energy at -9.475 eV/atom. The symmetry is Imma (74).



Entry 5:
Here is a relaxed structure of RbNa2HgTe from the Alexandria database. Energies are from PBE-GGA.

POSCAR file:
```
RbNa2HgTe
1.0
5.939 0.000 0.000
0.000 5.939 0.000
0.000 0.000 7.148
Rb Na Hg Te
1 2 1 1
Direct
0.000 0.000 0.000
0.000 0.500 0.500
0.500 0.000 0.500
0.500 0.500 0.000
0.000 0.000 0.500
```

Values from the calculation:
The uncorrected formation energy is -0.46 eV/atom. For the total magnetization, the calculation gives 0.000 μB/f.u. The calculation puts the calculated volume at 50.44 Å³/atom. The calculation puts the total energy at -1.869 eV/atom. The symmetry is P4/mmm (123).



Entry 6:
Here is a relaxed structure of Co3Cu5H12 from the Alexandria database. Energies are from PBE-GGA.

POSCAR file:
```
Co3Cu5H12
1.0
-5.070 5.070 5.070
5.070 -5.070 5.070
5.070 5.070 -5.070
Co Cu H
12 20 48
Direct
0.125 0.250 0.375
0.125 0.375 0.750
0.250 0.375 0.125
0.250 0.875 0.625
0.375 0.125 0.250
0.375 0.750 0.125
0.625 0.250 0.875
0.625 0.875 0.750
0.750 0.125 0.375
0.750 0.625 0.875
0.875 0.625 0.250
0.875 0.750 0.625
0.000 0.000 0.000
0.000 0.000 0.500
0.000 0.500 0.000
0.000 0.500 0.500
0.125 0.750 0.875
0.125 0.875 0.250
0.250 0.125 0.875
0.250 0.625 0.375
0.375 0.250 0.625
0.375 0.625 0.750
0.500 0.000 0.000
0.500 0.000 0.500
0.500 0.500 0.000
0.500 0.500 0.500
0.625 0.375 0.250
0.625 0.750 0.375
0.750 0.375 0.625
0.750 0.875 0.125
0.875 0.125 0.750
0.875 0.250 0.125
0.068 0.234 0.152
0.068 0.335 0.916
0.082 0.734 0.665
0.082 0.848 0.416
0.084 0.652 0.418
0.084 0.932 0.665
0.152 0.068 0.234
0.152 0.584 0.918
0.165 0.234 0.582
0.165 0.432 0.584
0.234 0.152 0.068
0.234 0.582 0.165
0.266 0.335 0.918
0.266 0.432 0.348
0.335 0.916 0.068
0.335 0.918 0.266
0.348 0.266 0.432
0.348 0.582 0.916
0.416 0.082 0.848
0.416 0.835 0.568
0.418 0.084 0.652
0.418 0.835 0.766
0.432 0.348 0.266
0.432 0.584 0.165
0.568 0.416 0.835
0.568 0.652 0.734
0.582 0.165 0.234
0.582 0.916 0.348
0.584 0.165 0.432
0.584 0.918 0.152
0.652 0.418 0.084
0.652 0.734 0.568
0.665 0.082 0.734
0.665 0.084 0.932
0.734 0.568 0.652
0.734 0.665 0.082
0.766 0.418 0.835
0.766 0.848 0.932
0.835 0.568 0.416
0.835 0.766 0.418
0.848 0.416 0.082
0.848 0.932 0.766
0.916 0.068 0.335
0.916 0.348 0.582
0.918 0.152 0.584
0.918 0.266 0.335
0.932 0.665 0.084
0.932 0.766 0.848
```

Values from the calculation:
For the total magnetization, the calculation gives 0.000 μB/f.u. The calculation puts the calculated volume at 6.52 Å³/atom. The calculation puts the total energy at -3.898 eV/atom. The symmetry is Ia-3d (230).



Entry 7:
Here is a relaxed structure of Pm3NdCo2 from the Alexandria database. Energies are from PBE-GGA.

POSCAR file:
```
Pm3NdCo2
1.0
-3.390 6.774 3.515
3.390 -6.774 3.515
3.390 6.774 -3.515
Pm Nd Co
6 2 4
Direct
0.010 0.750 0.260
0.250 0.250 0.000
0.490 0.750 0.740
0.510 0.250 0.260
0.750 0.750 0.000
0.990 0.250 0.740
0.000 0.500 0.500
0.500 0.000 0.500
0.134 0.222 0.356
0.366 0.722 0.087
0.634 0.278 0.913
0.866 0.778 0.644
```

Values from the calculation:
For the total magnetization, the calculation gives 0.000 μB/f.u. The calculation puts the calculated volume at 26.91 Å³/atom. For the energy above the most stable polymorph in this dataset, the calculation gives 0.087 eV/atom. For the formation energy, the calculation gives 0.02 eV per atom. The calculation puts the total energy at -5.517 eV/atom. The symmetry is Ibam (72).



Entry 8:
Here is a relaxed structure of Rb2Tl12Pb from the Alexandria database. Energies are from PBE-GGA.

POSCAR file:
```
Rb2Tl12Pb
1.0
7.246 0.000 0.000
0.000 7.246 0.000
0.000 0.000 20.697
Rb Tl Pb
4 24 2
Direct
0.250 0.750 0.242
0.250 0.750 0.758
0.750 0.250 0.242
0.750 0.250 0.758
0.000 0.000 0.404
0.000 0.000 0.596
0.000 0.500 0.404
0.000 0.500 0.596
0.086 0.586 0.064
0.086 0.914 0.936
0.250 0.250 0.154
0.250 0.250 0.309
0.250 0.250 0.691
0.250 0.250 0.846
0.414 0.586 0.936
0.414 0.914 0.064
0.500 0.000 0.404
0.500 0.000 0.596
0.500 0.500 0.404
0.500 0.500 0.596
0.586 0.086 0.936
0.586 0.414 0.064
0.750 0.750 0.154
0.750 0.750 0.309
0.750 0.750 0.691
0.750 0.750 0.846
0.914 0.086 0.064
0.914 0.414 0.936
0.250 0.750 0.500
0.750 0.250 0.500
```

Values from the calculation:
For the total magnetization, the calculation gives 0.000 μB/f.u. The calculation puts the calculated volume at 36.22 Å³/atom. For the formation energy, the calculation gives 0.02 eV per atom. The calculation puts the total energy at -2.252 eV/atom. The symmetry is P4/nbm (125).



Entry 9:
Here is a relaxed structure of CeHfSb from the Alexandria database. Energies are from PBE-GGA.

POSCAR file:
```
CeHfSb
1.0
7.710 -2.060 0.000
7.710 2.060 0.000
-0.206 0.000 4.714
Ce Hf Sb
2 2 2
Direct
0.069 0.069 0.217
0.931 0.931 0.783
0.257 0.257 0.749
0.743 0.743 0.251
0.385 0.385 0.267
0.615 0.615 0.733
```

Values from the calculation:
The uncorrected formation energy is -0.56 eV/atom. For the total magnetization, the calculation gives 0.829 μB/f.u. The calculation puts the calculated volume at 24.96 Å³/atom. The calculation puts the total energy at -7.232 eV/atom. The symmetry is C2/m (12).



Entry 10:
Here is a relaxed structure of NaCo3Br9 from the Alexandria database. Energies are from PBE-GGA.

POSCAR file:
```
NaCo3Br9
1.0
9.618 -4.736 0.000
9.618 4.736 0.000
-9.108 0.000 10.410
Na Co Br
2 6 18
Direct
0.218 0.782 0.500
0.782 0.218 0.000
0.056 0.271 0.845
0.271 0.056 0.345
0.290 0.449 0.688
0.449 0.290 0.188
0.648 0.847 0.222
0.847 0.648 0.722
0.013 0.455 0.586
0.094 0.238 0.235
0.130 0.960 0.347
0.188 0.440 0.053
0.238 0.094 0.735
0.287 0.670 0.696
0.418 0.425 0.885
0.425 0.418 0.385
0.440 0.188 0.553
0.455 0.013 0.086
0.474 0.806 0.248
0.586 0.787 0.598
0.670 0.287 0.196
0.787 0.586 0.098
0.806 0.474 0.748
0.828 0.958 0.418
0.958 0.828 0.918
0.960 0.130 0.847
```

Values from the calculation:
The uncorrected formation energy is -0.44 eV/atom. For the total magnetization, the calculation gives 11.018 μB/f.u. The calculation puts the calculated volume at 36.48 Å³/atom. The calculation puts the total energy at -3.338 eV/atom. The symmetry is Cc (9).